Entry from Alexandria: an optimized crystal structure of FeCoNi2 (GGA-PBE).

It has space group P4mm (No. 99), with a = 2.486 Å, b = 2.486 Å, c = 7.180 Å, α = 90.00°, β = 90.00° and γ = 90.00°. The inequivalent atoms are Fe at (0.000, 0.000, 0.000), Co at (0.500, 0.500, 0.741), Ni at (0.000, 0.000, 0.500) and Ni at (0.500, 0.500, 0.249).

As for the density of states at the Fermi level: 0.743 states/eV/atom. Its magnetic moment is 5.4 μB per cell. The calculation puts the density at 8.7 g/cm³. For the total energy, the calculation gives -6.80 eV per atom. The energy relative to the elements comes out at -0.019 eV/atom.

Entry from Alexandria: an optimized crystal structure of Zr4TlHg (GGA-PBE).

It has space group F-43m (No. 216), with a = 8.234 Å, b = 8.234 Å, c = 8.234 Å, α = 90.00°, β = 90.00° and γ = 90.00°. The inequivalent atoms are Zr at (0.125, 0.125, 0.125), Tl at (0.000, 0.000, 0.500) and Hg at (0.250, 0.250, 0.750).

As for the density of states at the Fermi level: 1.048 states/eV/atom. The offset from the most stable computed form is 0.360 eV/atom. Its magnetic moment is 0.0 μB per cell. The calculation puts the density at 9.2 g/cm³. For the total energy, the calculation gives -5.88 eV per atom. The energy relative to the elements comes out at 0.260 eV/atom.

Entry from Alexandria: an optimized crystal structure of Ag2RuPtS (GGA-PBE).

It has space group P4/mmm (No. 123), with a = 4.648 Å, b = 4.648 Å, c = 4.294 Å, α = 90.00°, β = 90.00° and γ = 90.00°. The inequivalent atoms are Ag at (0.000, 0.500, 0.000), Ru at (0.000, 0.000, 0.500), Pt at (0.500, 0.500, 0.500) and S at (0.000, 0.000, 0.000).

As for the density of states at the Fermi level: 0.712 states/eV/atom. Its magnetic moment is 0.0 μB per cell. The calculation puts the density at 9.7 g/cm³. For the total energy, the calculation gives -4.37 eV per atom. The calculation puts the formation energy without anion corrections at 0.659 eV/atom.

Entry from Alexandria: an optimized crystal structure of MnBeZn2 (GGA-PBE).

It has space group Pmm2 (No. 25), with a = 2.674 Å, b = 2.702 Å, c = 6.784 Å, α = 90.00°, β = 90.00° and γ = 90.00°. The inequivalent atoms are Mn at (0.000, 0.000, 0.000), Be at (0.500, 0.500, 0.204), Zn at (0.000, 0.000, 0.433) and Zn at (0.500, 0.500, 0.727).

As for the density of states at the Fermi level: 0.218 states/eV/atom. Its magnetic moment is 2.5 μB per cell. The calculation puts the density at 6.6 g/cm³. For the total energy, the calculation gives -3.83 eV per atom. The energy relative to the elements comes out at 0.028 eV/atom.

Entry from Alexandria: an optimized crystal structure of LaMg2HgIr (GGA-PBE).

It has space group P4/mmm (No. 123), with a = 5.119 Å, b = 5.119 Å, c = 5.389 Å, α = 90.00°, β = 90.00° and γ = 90.00°. The inequivalent atoms are La at (0.000, 0.000, 0.000), Mg at (0.000, 0.500, 0.500), Hg at (0.500, 0.500, 0.000) and Ir at (0.000, 0.000, 0.500).

As for the density of states at the Fermi level: 0.354 states/eV/atom. Its magnetic moment is 0.0 μB per cell. The calculation puts the density at 6.8 g/cm³. For the total energy, the calculation gives -3.80 eV per atom. The energy relative to the elements comes out at -0.349 eV/atom.

Entry from Alexandria: an optimized crystal structure of YV2Co (GGA-PBE).

It has space group I4_1/amd (No. 141, origin choice 2), with a = 4.352 Å, b = 4.352 Å, c = 16.729 Å, α = 90.00°, β = 90.00° and γ = 90.00°. The inequivalent atoms are Y at (0.000, 0.250, 0.375), V at (0.000, 0.000, 0.000) and Co at (0.000, 0.250, 0.875).

As for the density of states at the Fermi level: 1.613 states/eV/atom. The offset from the most stable computed form is 0.126 eV/atom. Its magnetic moment is 0.0 μB per cell. The calculation puts the density at 5.2 g/cm³. For the total energy, the calculation gives -7.31 eV per atom. The energy relative to the elements comes out at 0.642 eV/atom.

Entry from Alexandria: an optimized crystal structure of Rb2MnBr4Cl2 (GGA-PBE).

It has space group I4/mmm (No. 139), with a = 7.427 Å, b = 7.427 Å, c = 10.512 Å, α = 90.00°, β = 90.00° and γ = 90.00°. The inequivalent atoms are Rb at (0.000, 0.500, 0.250), Mn at (0.000, 0.000, 0.000), Br at (0.236, 0.236, 0.000) and Cl at (0.000, 0.000, 0.217).

Its magnetic moment is 6.0 μB per cell. The calculation puts the density at 3.5 g/cm³. For the total energy, the calculation gives -3.62 eV per atom. The calculation puts the formation energy without anion corrections at -1.232 eV/atom.

Entry from Alexandria: an optimized crystal structure of DyHoTm4 (GGA-PBE).

It has space group P4/mmm (No. 123), with a = 5.350 Å, b = 5.350 Å, c = 7.600 Å, α = 90.00°, β = 90.00° and γ = 90.00°. The inequivalent atoms are Dy at (0.000, 0.000, 0.000), Ho at (0.500, 0.500, 0.500) and Tm at (0.000, 0.500, 0.251).

As for the density of states at the Fermi level: 0.964 states/eV/atom. The offset from the most stable computed form is 0.653 eV/atom. Its magnetic moment is 0.0 μB per cell. The calculation puts the density at 7.7 g/cm³. For the total energy, the calculation gives -3.78 eV per atom. The energy relative to the elements comes out at 0.735 eV/atom.

Entry from Alexandria: an optimized crystal structure of Al3Co (GGA-PBE).

It has space group P4/mmm (No. 123), with a = 3.126 Å, b = 3.126 Å, c = 5.617 Å, α = 90.00°, β = 90.00° and γ = 90.00°. The inequivalent atoms are Al at (0.000, 0.000, 0.000), Al at (0.500, 0.500, 0.273) and Co at (0.000, 0.000, 0.500).

As for the density of states at the Fermi level: 0.169 states/eV/atom. Its magnetic moment is 0.0 μB per cell. The calculation puts the density at 4.2 g/cm³. For the total energy, the calculation gives -4.81 eV per atom. The energy relative to the elements comes out at -0.223 eV/atom.

Entry from Alexandria: an optimized crystal structure of DyHo5Sc6 (GGA-PBE).

It has space group C2/m (No. 12), with a = 5.907 Å, b = 10.223 Å, c = 11.116 Å, α = 90.00°, β = 100.16° and γ = 90.00°. The inequivalent atoms are Dy at (0.000, 0.000, 0.000), Ho at (0.000, 0.167, 0.500), Ho at (0.000, 0.333, 0.000), Ho at (0.000, 0.500, 0.500), Sc at (0.250, 0.000, 0.750) and Sc at (0.250, 0.167, 0.250).

As for the density of states at the Fermi level: 1.483 states/eV/atom. Its magnetic moment is 0.0 μB per cell. The calculation puts the density at 6.3 g/cm³. For the total energy, the calculation gives -5.40 eV per atom. The energy relative to the elements comes out at 0.056 eV/atom.

Entry from Alexandria: an optimized crystal structure of SmY6Er12 (GGA-PBE).

It has space group R-3m (No. 166, hexagonal axes), with a = 15.1685 Å, b = 15.1685 Å, c = 9.7392 Å, α = 90.00°, β = 90.00° and γ = 120.00°. The inequivalent atoms are Sm at (0.0000, 0.0000, 0.0000), Y at (0.0485, 0.5242, 0.2005), Er at (0.0000, 0.3918, 0.5000) and Er at (0.0702, 0.1404, 0.2944).

As for the density of states at the Fermi level: 1.351 states/eV/atom. The offset from the most stable computed form is 0.291 eV/atom. Its magnetic moment is 0.0 μB per cell. The calculation puts the density at 6.9 g/cm³. For the total energy, the calculation gives -4.72 eV per atom. The energy relative to the elements comes out at 0.456 eV/atom.

Entry from Alexandria: an optimized crystal structure of Tl2InPt (GGA-PBE).

It has space group I-42d (No. 122), with a = 9.370 Å, b = 9.370 Å, c = 5.276 Å, α = 90.00°, β = 90.00° and γ = 90.00°. The inequivalent atoms are Tl at (0.153, 0.750, 0.125), In at (0.000, 0.000, 0.500) and Pt at (0.000, 0.000, 0.000).

As for the density of states at the Fermi level: 0.513 states/eV/atom. The offset from the most stable computed form is 0.075 eV/atom. Its magnetic moment is 0.0 μB per cell. The calculation puts the density at 10.3 g/cm³. For the total energy, the calculation gives -3.41 eV per atom. The energy relative to the elements comes out at -0.036 eV/atom.